No. 1
TaSi2Ni | Alexandria | PBE | relaxed; space-group type = No. 99
1.0
3.235 0.000 0.000
0.000 3.235 0.000
0.000 0.000 5.298
Si Ta Ni
2 1 1
direct
0.500 0.500 0.242
0.000 0.000 0.983
0.000 0.000 0.481
0.500 0.500 0.795

=====

No. 2
TaSi2Ni | Alexandria | PBE | relaxed; space-group type = No. 225
1.0
0.000 3.022 3.022
3.022 0.000 3.022
3.022 3.022 0.000
Ta Ni Si
1 1 2
direct
0.500 0.500 0.500
0.000 0.000 0.000
0.250 0.250 0.250
0.750 0.750 0.750

=====

No. 3
Ta2SiNi | Alexandria | PBE | relaxed; space-group type = No. 216
1.0
4.418 0.000 0.000
2.209 3.826 0.000
2.209 1.275 3.608
Ta Si Ni
2 1 1
direct
0.000 0.000 0.000
0.250 0.250 0.250
0.750 0.750 0.750
0.500 0.500 0.500

=====

No. 4
Ta3SiNi | Alexandria | PBE | relaxed; space-group type = No. 221
1.0
-2.624 3.631 0.848
-1.399 -1.919 3.892
3.457 1.979 2.218
Ta Si Ni
3 1 1
direct
0.000 0.500 0.000
0.500 0.000 0.000
0.000 0.000 0.500
0.500 0.500 0.500
0.000 0.000 0.000

=====

No. 5
TaSi2Ni | Alexandria | PBE | relaxed; space-group type = No. 122
1.0
-5.738 3.040 -0.738
-1.245 -0.805 6.365
-2.285 3.527 3.354
Si Ni Ta
4 2 2
direct
0.375 0.421 0.750
0.171 0.625 0.250
0.875 0.829 0.750
0.579 0.125 0.250
0.250 0.750 0.500
0.500 0.500 0.000
0.750 0.250 0.500
0.000 0.000 0.000

=====

No. 6
TaSi2Ni | Alexandria | PBE | relaxed; space-group type = No. 8
1.0
4.833 0.005 0.018
3.995 2.721 0.018
1.339 0.413 4.236
Si Ta Ni
2 1 1
direct
0.991 0.991 0.062
0.747 0.747 0.713
0.500 0.500 0.558
0.262 0.262 0.167

=====

No. 7
TaSiNi4 | Alexandria | PBE | relaxed; space-group type = No. 216
1.0
0.000 3.322 3.322
3.322 0.000 3.322
3.322 3.322 0.000
Si Ni Ta
1 4 1
direct
0.750 0.750 0.750
0.375 0.375 0.375
0.375 0.875 0.375
0.875 0.375 0.375
0.375 0.375 0.875
0.000 0.000 0.000

=====

No. 8
Ta2SiNi | Alexandria | PBE | relaxed; space-group type = No. 139
1.0
-1.405 -4.280 1.419
0.976 -3.022 -3.495
2.746 3.188 2.145
Ta Si Ni
2 1 1
direct
0.500 0.500 0.000
0.000 0.000 0.000
0.750 0.250 0.500
0.250 0.750 0.500

=====

No. 9
Ta2SiNi | Alexandria | PBE | relaxed; space-group type = No. 160
1.0
-0.253 0.253 -3.640
-1.539 -2.707 -1.919
-5.570 1.645 -1.337
Ni Si Ta
1 1 2
direct
0.468 0.231 0.833
0.137 0.900 0.827
0.909 0.672 0.509
0.696 0.459 0.149

=====

No. 10
TaSi2Ni | Alexandria | PBE | relaxed; space-group type = No. 99
1.0
2.706 0.032 0.000
-0.030 2.706 0.000
0.000 0.000 7.782
Ta Ni Si
1 1 2
direct
0.000 0.000 0.514
0.500 0.500 0.770
0.500 0.500 0.255
0.000 0.000 0.961

=====

No. 11
TaSi2Ni | Alexandria | PBE | relaxed; space-group type = No. 139
1.0
-4.796 0.219 -0.394
-1.704 -0.852 -4.424
3.089 -2.215 2.959
Si Ta Ni
2 1 1
direct
0.500 0.500 0.000
0.000 0.000 0.000
0.250 0.750 0.500
0.750 0.250 0.500

=====

No. 12
TaSi2Ni9 | Alexandria | PBE | relaxed; space-group type = No. 123
1.0
-1.839 -0.580 3.015
3.045 0.105 1.877
-1.164 10.469 1.304
Ni Si Ta
9 2 1
direct
0.500 0.000 0.175
0.500 0.500 0.337
0.000 0.500 0.175
0.000 0.500 0.825
0.500 0.500 0.663
0.500 0.000 0.825
0.500 0.000 0.500
0.500 0.500 0.000
0.000 0.500 0.500
0.000 0.000 0.341
0.000 0.000 0.659
0.000 0.000 0.000

=====

No. 13
TaSi2Ni | Alexandria | PBE | relaxed; space-group type = No. 12
1.0
-3.254 0.585 3.336
-4.564 -0.220 1.089
-1.141 -4.304 2.206
Si Ta Ni
2 1 1
direct
0.526 0.526 0.493
0.974 0.974 0.007
0.750 0.750 0.750
0.250 0.250 0.250

=====

No. 14
Ta3Si2Ni | Alexandria | PBE | relaxed; space-group type = No. 62
1.0
3.658 0.000 0.000
0.000 9.713 0.000
0.000 0.000 10.360
Ni Ta Si
4 12 8
direct
0.250 0.120 0.129
0.250 0.380 0.629
0.750 0.620 0.371
0.750 0.880 0.871
0.250 0.705 0.206
0.750 0.578 0.625
0.250 0.115 0.541
0.750 0.295 0.794
0.750 0.615 0.959
0.750 0.922 0.125
0.250 0.385 0.041
0.250 0.422 0.375
0.750 0.205 0.294
0.250 0.078 0.875
0.250 0.795 0.706
0.750 0.885 0.459
0.250 0.512 0.806
0.250 0.689 0.472
0.750 0.189 0.028
0.250 0.988 0.306
0.750 0.488 0.194
0.250 0.811 0.972
0.750 0.311 0.528
0.750 0.012 0.694

=====

No. 15
Ta2SiNi | Alexandria | PBE | relaxed; space-group type = No. 65
1.0
-2.110 4.156 -0.065
-0.550 -1.736 4.291
2.456 1.260 0.824
Ta Ni Si
2 1 1
direct
0.500 0.500 0.000
0.000 0.000 0.000
0.500 0.000 0.500
0.000 0.500 0.500

=====

No. 16
Ta2SiNi | Alexandria | PBE | relaxed; space-group type = No. 122
1.0
6.862 0.000 0.000
0.000 6.862 0.000
3.431 3.431 2.737
Ta Si Ni
4 2 2
direct
0.114 0.625 0.250
0.636 0.125 0.250
0.875 0.886 0.750
0.375 0.364 0.750
0.250 0.750 0.500
0.500 0.500 0.000
0.000 0.000 0.000
0.750 0.250 0.500

=====

No. 17
TaSi2Ni | Alexandria | PBE | relaxed; space-group type = No. 216
1.0
4.316 0.000 0.000
2.158 3.738 0.000
2.158 1.246 3.524
Si Ni Ta
2 1 1
direct
0.000 0.000 0.000
0.250 0.250 0.250
0.500 0.500 0.500
0.750 0.750 0.750

=====

No. 18
TaSi2Ni | Alexandria | PBE | relaxed; space-group type = No. 71
1.0
-4.023 -2.988 -0.098
-0.310 -2.975 4.021
-0.037 4.660 -1.844
Ta Si Ni
1 2 1
direct
0.750 0.250 0.500
0.474 0.474 0.000
0.026 0.026 0.000
0.250 0.750 0.500

=====

No. 19
TaSi2Ni | Alexandria | PBE | relaxed; space-group type = No. 47
1.0
-0.847 -0.169 3.693
2.159 -1.895 0.408
3.202 3.842 0.910
Si Ni Ta
2 1 1
direct
0.000 0.750 0.000
0.000 0.750 0.500
0.500 0.750 0.750
0.500 0.250 0.250

=====

No. 20
Ta2Si2Ni | Alexandria | PBE | relaxed; space-group type = No. 127
1.0
6.183 0.000 0.000
0.000 6.183 0.000
0.000 0.000 3.785
Ta Si Ni
4 4 2
direct
0.673 0.827 0.500
0.327 0.173 0.500
0.173 0.673 0.500
0.827 0.327 0.500
0.867 0.633 0.000
0.133 0.367 0.000
0.367 0.867 0.000
0.633 0.133 0.000
0.500 0.500 0.000
0.000 0.000 0.000

=====

No. 21
Ta2SiNi | Alexandria | PBE | relaxed; space-group type = No. 166
1.0
8.876 -0.017 -0.010
8.420 2.806 -0.010
8.420 1.358 2.456
Ta Si Ni
2 1 1
direct
0.999 0.999 0.999
0.501 0.501 0.501
0.750 0.750 0.750
0.250 0.250 0.250

=====

No. 22
TaSi2Ni | Alexandria | PBE | relaxed; space-group type = No. 166
1.0
-4.268 -3.645 6.056
-5.366 -4.976 3.823
-2.957 -5.894 4.969
Ni Si Ta
1 2 1
direct
0.750 0.750 0.750
0.491 0.491 0.491
0.009 0.009 0.009
0.250 0.250 0.250

=====

No. 23
Ta2SiNi | Alexandria | PBE | relaxed; space-group type = No. 123
1.0
3.846 0.000 0.000
0.000 3.954 0.000
0.000 0.000 3.954
Ni Si Ta
1 1 2
direct
0.500 0.500 0.000
0.500 0.000 0.500
0.000 0.500 0.500
0.000 0.000 0.000

=====

No. 24
TaSi2Ni3 | Alexandria | PBE | relaxed; space-group type = No. 12
1.0
3.630 0.000 0.000
-1.815 7.097 -2.328
0.000 -0.060 8.848
Si Ta Ni
6 3 9
direct
0.638 0.276 0.459
0.460 0.920 0.208
0.802 0.605 0.866
0.198 0.395 0.134
0.540 0.080 0.792
0.362 0.724 0.541
0.152 0.304 0.697
0.848 0.696 0.303
0.000 0.000 0.000
0.786 0.571 0.606
0.684 0.368 0.970
0.382 0.764 0.804
0.316 0.632 0.030
0.962 0.924 0.661
0.214 0.429 0.394
0.500 0.000 0.500
0.618 0.236 0.196
0.038 0.076 0.339

=====

No. 25
Ta2SiNi4 | Alexandria | PBE | relaxed; space-group type = No. 139
1.0
-0.336 3.415 -2.037
0.789 -1.946 -3.393
-6.265 -0.413 -3.566
Ni Ta Si
4 2 1
direct
0.162 0.162 0.676
0.500 0.000 0.000
0.838 0.838 0.324
0.000 0.500 0.000
0.339 0.339 0.323
0.661 0.661 0.677
0.000 0.000 0.000

=====

No. 26
ThTaSi2Ni2 | Alexandria | PBE | relaxed; space-group type = No. 164
1.0
-2.832 1.736 2.365
-1.120 -2.486 -3.031
0.298 -5.409 4.326
Si Th Ni Ta
2 1 2 1
direct
0.667 0.333 0.711
0.333 0.667 0.289
0.000 0.000 0.000
0.333 0.667 0.671
0.667 0.333 0.329
0.000 0.000 0.500

=====

No. 27
TaTlSiNi2 | Alexandria | PBE | relaxed; space-group type = No. 123
1.0
-3.658 0.156 -2.056
-0.133 -5.088 -0.150
-2.059 -0.054 3.659
Ta Ni Tl Si
1 2 1 1
direct
0.500 0.500 0.500
0.000 0.000 0.500
0.500 0.000 0.000
0.000 0.500 0.000
0.000 0.000 0.000

=====

Number 1: spin magnetization 0.00 Bohr magnetons per cell, formation energy without anion corrections -0.285 eV per atom. Number 2: spin magnetization 0.00 Bohr magnetons per cell, formation energy without anion corrections -0.038 eV per atom. Number 3: spin magnetization 0.00 Bohr magnetons per cell, formation energy without anion corrections 0.135 eV per atom. Number 4: spin magnetization 0.00 Bohr magnetons per cell, formation energy without anion corrections 0.860 eV per atom. Number 5: spin magnetization 0.00 Bohr magnetons per cell, formation energy without anion corrections -0.049 eV per atom. Number 6: spin magnetization 0.00 Bohr magnetons per cell, formation energy without anion corrections -0.289 eV per atom. Number 7: spin magnetization 0.59 Bohr magnetons per cell, formation energy without anion corrections -0.194 eV per atom. Number 8: spin magnetization 0.00 Bohr magnetons per cell, formation energy without anion corrections -0.302 eV per atom. Number 9: spin magnetization 0.00 Bohr magnetons per cell, formation energy without anion corrections -0.026 eV per atom. Number 10: spin magnetization 0.00 Bohr magnetons per cell, formation energy without anion corrections -0.032 eV per atom. Number 11: spin magnetization 0.18 Bohr magnetons per cell, formation energy without anion corrections -0.179 eV per atom. Number 12: spin magnetization 0.00 Bohr magnetons per cell, formation energy without anion corrections -0.412 eV per atom. Number 13: spin magnetization 0.00 Bohr magnetons per cell, formation energy without anion corrections -0.185 eV per atom. Number 14: spin magnetization 0.00 Bohr magnetons per cell, formation energy without anion corrections -0.478 eV per atom. Number 15: spin magnetization 0.00 Bohr magnetons per cell, formation energy without anion corrections -0.261 eV per atom. Number 16: spin magnetization 0.00 Bohr magnetons per cell, formation energy without anion corrections 0.098 eV per atom. Number 17: spin magnetization 0.00 Bohr magnetons per cell, formation energy without anion corrections 0.173 eV per atom. Number 18: spin magnetization 0.00 Bohr magnetons per cell, formation energy without anion corrections -0.173 eV per atom. Number 19: spin magnetization 0.00 Bohr magnetons per cell, formation energy without anion corrections -0.408 eV per atom. Number 20: spin magnetization 0.00 Bohr magnetons per cell, formation energy without anion corrections -0.453 eV per atom. Number 21: spin magnetization 0.00 Bohr magnetons per cell, formation energy without anion corrections 0.016 eV per atom. Number 22: spin magnetization 0.00 Bohr magnetons per cell, formation energy without anion corrections -0.159 eV per atom. Number 23: spin magnetization 0.00 Bohr magnetons per cell, formation energy without anion corrections -0.269 eV per atom. Number 24: spin magnetization 0.00 Bohr magnetons per cell, formation energy without anion corrections -0.507 eV per atom. Number 25: spin magnetization 0.00 Bohr magnetons per cell, formation energy without anion corrections 0.464 eV per atom. Number 26: spin magnetization 0.00 Bohr magnetons per cell, formation energy without anion corrections -0.700 eV per atom. Number 27: spin magnetization 0.00 Bohr magnetons per cell, formation energy without anion corrections 0.866 eV per atom.